(1)
YAlFeHg after structural relaxation, computed with PBE-GGA.

Lattice parameters (Å, degrees): 4.7232 4.7232 4.7232 60.00 60.00 60.00
Closest atoms and distances in Å follow each position.
Fractional positions:
Y  0.0000  0.0000  0.0000  4 Hg 2.89, 4 Fe 2.89
Al  0.5000  0.5000  0.5000  4 Hg 2.89, 4 Fe 2.89
Fe  0.7500  0.7500  0.7500  4 Al 2.89, 4 Y 2.89
Hg  0.2500  0.2500  0.2500  4 Al 2.89, 4 Y 2.89

SG: No. 216
Crystal system: cubic
Calculated total energy: -4.692 eV per atom
Density: 8.30 Mg/m³



(2)
YNbInCu after structural relaxation, computed with PBE-GGA.

Lattice parameters (Å, degrees): 4.9061 4.9061 4.9061 60.00 60.00 60.00
Closest atoms and distances in Å follow each position.
Fractional positions:
Y  0.0000  0.0000  0.0000  4 Cu 3.00, 4 Nb 3.00
Nb  0.2500  0.2500  0.2500  4 In 3.00, 4 Y 3.00
In  0.5000  0.5000  0.5000  4 Nb 3.00, 4 Cu 3.00
Cu  0.7500  0.7500  0.7500  4 In 3.00, 4 Y 3.00

SG: No. 216
Crystal system: cubic
Calculated total energy: -5.461 eV per atom
Density: 7.16 Mg/m³



(3)
Li4AlCdIr2 after structural relaxation, computed with PBE-GGA.

Lattice parameters (Å, degrees): 4.2745 4.2745 6.2724 90.00 90.00 90.00
Closest atoms and distances in Å follow each position.
Fractional positions:
Li  0.0000  0.0000  0.0000  4 Li 2.68, 4 Ir 2.78
Li  0.0000  0.5000  0.7410  4 Li 2.62-2.68, 2 Al 2.62, 2 Cd 2.68, 1 Ir 2.87
Li  0.5000  0.0000  0.2590  4 Li 2.62-2.68, 2 Al 2.62, 2 Cd 2.68, 1 Ir 2.87
Li  0.5000  0.5000  0.5000  4 Ir 2.53, 4 Li 2.62
Al  0.0000  0.0000  0.5000  4 Ir 2.53, 4 Li 2.62
Cd  0.5000  0.5000  0.0000  4 Li 2.68, 4 Ir 2.78
Ir  0.0000  0.5000  0.2828  4 Li 2.53-2.78, 2 Al 2.53, 2 Cd 2.78
Ir  0.5000  0.0000  0.7172  4 Li 2.53-2.78, 2 Al 2.53, 2 Cd 2.78

SG: No. 115
Crystal system: tetragonal
Calculated total energy: -4.048 eV per atom
Density: 7.99 Mg/m³



(4)
Y2ErTm after structural relaxation, computed with PBE-GGA.

Lattice parameters (Å, degrees): 5.5988 7.2123 7.2123 119.98 90.00 90.00
Closest atoms and distances in Å follow each position.
Fractional positions:
Y  0.2500  0.0833  0.9167  4 Er 3.49-3.61, 6 Y 3.49-3.61, 2 Tm 3.60-3.62
Y  0.2500  0.0841  0.4177  4 Er 3.49-3.61, 4 Y 3.49-3.61, 4 Tm 3.49-3.61
Y  0.7500  0.4177  0.0841  4 Er 3.49-3.61, 4 Y 3.49-3.61, 4 Tm 3.49-3.61
Y  0.7500  0.9167  0.0833  4 Er 3.49-3.61, 6 Y 3.49-3.61, 2 Tm 3.60-3.62
Er  0.2500  0.5839  0.9163  4 Tm 3.48-3.62, 8 Y 3.49-3.61
Er  0.7500  0.9163  0.5839  4 Tm 3.48-3.62, 8 Y 3.49-3.61
Tm  0.2500  0.5846  0.4186  4 Er 3.48-3.62, 2 Tm 3.48, 6 Y 3.49-3.62
Tm  0.7500  0.4186  0.5846  4 Er 3.48-3.62, 2 Tm 3.48, 6 Y 3.49-3.62

SG: No. 40
Crystal system: orthorhombic
Density: 6.77 Mg/m³
Calculated formation energy: 3 meV/atom



(5)
KSr3IrO6 after structural relaxation, computed with PBE-GGA.

Lattice parameters (Å, degrees): 6.8893 6.8893 6.8893 88.20 88.20 88.20
Closest atoms and distances in Å follow each position.
Fractional positions:
K  0.2500  0.2500  0.2500  6 O 2.56
K  0.7500  0.7500  0.7500  6 O 2.56
Sr  0.1112  0.7500  0.3888  8 O 2.57-2.76
Sr  0.2500  0.6112  0.8888  8 O 2.57-2.76
Sr  0.3888  0.1111  0.7500  8 O 2.57-2.76
Sr  0.6112  0.8888  0.2500  8 O 2.57-2.76
Sr  0.7500  0.3888  0.1112  8 O 2.57-2.76
Sr  0.8888  0.2500  0.6112  8 O 2.57-2.76
Ir  0.0000  0.0000  0.0000  6 O 2.02
Ir  0.5000  0.5000  0.5000  6 O 2.02
O  0.0658  0.2786  0.9324  1 Ir 2.02
O  0.0676  0.9342  0.7214  1 Ir 2.02
O  0.2214  0.4342  0.5676  1 Ir 2.02
O  0.2786  0.9324  0.0658  1 Ir 2.02
O  0.4324  0.7786  0.5658  1 Ir 2.02
O  0.4342  0.5676  0.2214  1 Ir 2.02
O  0.5658  0.4324  0.7786  1 Ir 2.02
O  0.5676  0.2214  0.4342  1 Ir 2.02
O  0.7214  0.0676  0.9342  1 Ir 2.02
O  0.7786  0.5658  0.4324  1 Ir 2.02
O  0.9324  0.0658  0.2786  1 Ir 2.02
O  0.9342  0.7214  0.0676  1 Ir 2.02

SG: No. 167
Crystal system: trigonal
Calculated total energy: -6.076 eV per atom
Density: 6.00 Mg/m³



(6)
La5GdMg6Ag6 after structural relaxation, computed with PBE-GGA.

Lattice parameters (Å, degrees): 4.3462 13.6074 7.8397 90.00 90.00 90.00
Closest atoms and distances in Å follow each position.
Fractional positions:
La  0.0000  0.0000  0.0000  5 Ag 3.22-3.27, 6 Mg 3.47-3.59
La  0.0000  0.2098  0.3756  5 Ag 3.21-3.28, 6 Mg 3.48-3.60
La  0.0000  0.2937  0.8720  5 Ag 3.22-3.28, 6 Mg 3.48-3.61
La  0.0000  0.7063  0.8720  5 Ag 3.22-3.28, 6 Mg 3.48-3.61
La  0.0000  0.7902  0.3756  5 Ag 3.21-3.28, 6 Mg 3.48-3.60
Gd  0.0000  0.5000  0.4964  5 Ag 3.14-3.21, 2 Mg 3.46
Mg  0.5000  0.0000  0.3449  4 Ag 2.86-3.08
Mg  0.5000  0.1201  0.7011  4 Ag 2.87-3.15
Mg  0.5000  0.3833  0.2045  4 Ag 2.84-3.08, 1 Mg 3.17
Mg  0.5000  0.5000  0.8396  4 Ag 2.91-2.99
Mg  0.5000  0.6167  0.2045  4 Ag 2.84-3.08, 1 Mg 3.17
Mg  0.5000  0.8799  0.7011  4 Ag 2.87-3.15
Ag  0.0000  0.0000  0.5828  6 Mg 2.86-2.87
Ag  0.0000  0.5000  0.0872  6 Mg 2.84-2.91
Ag  0.5000  0.1680  0.0824  3 Mg 3.06-3.08, 6 La 3.21-3.22
Ag  0.5000  0.3402  0.5783  3 Mg 2.99-3.15, 2 Gd 3.14, 4 La 3.22-3.23
Ag  0.5000  0.6598  0.5783  3 Mg 2.99-3.15, 2 Gd 3.14, 4 La 3.22-3.23
Ag  0.5000  0.8320  0.0824  3 Mg 3.06-3.08, 6 La 3.21-3.22

SG: No. 25
Crystal system: orthorhombic
Calculated total energy: -3.363 eV per atom
Density: 5.89 Mg/m³



(7)
NdTcSn after structural relaxation, computed with PBE-GGA.

Lattice parameters (Å, degrees): 4.9402 4.9402 4.9402 60.00 60.00 60.00
Closest atoms and distances in Å follow each position.
Fractional positions:
Nd  0.0000  0.0000  0.0000  4 Sn 3.03, 4 Tc 3.03
Tc  0.2500  0.2500  0.2500  4 Nd 3.03
Sn  0.7500  0.7500  0.7500  4 Nd 3.03

SG: No. 216
Crystal system: cubic
Calculated total energy: -5.426 eV per atom
Density: 7.03 Mg/m³



(8)
Te2WSeSBr after structural relaxation, computed with PBE-GGA.

Lattice parameters (Å, degrees): 6.5113 8.0850 8.5596 115.78 105.85 96.52
Closest atoms and distances in Å follow each position.
Fractional positions:
Te  0.1174  0.0774  0.2976  1 Se 2.51
Te  0.3737  0.6738  0.7761  1 S 2.58, 2 W 2.75, 1 Br 2.79
Te  0.6263  0.3262  0.2239  1 S 2.58, 2 W 2.75, 1 Br 2.79
Te  0.8826  0.9226  0.7024  1 Se 2.51
W  0.2821  0.0000  0.0002  2 S 2.44, 2 Se 2.67
W  0.7179  0.0000  0.9998  2 S 2.44, 2 Se 2.67
Se  0.0324  0.2393  0.9956  1 Te 2.51, 2 W 2.67
Se  0.9676  0.7607  0.0044  1 Te 2.51, 2 W 2.67
S  0.4718  0.1474  0.8647  2 W 2.44, 1 Te 2.58
S  0.5282  0.8526  0.1353  2 W 2.44, 1 Te 2.58
Br  0.2372  0.6241  0.4168  1 Te 2.79
Br  0.7628  0.3759  0.5832  1 Te 2.79

SG: No. 2
Crystal system: triclinic
Calculated total energy: -5.073 eV per atom
Density: 5.56 Mg/m³



Copy entry 8 word for word.
Te2WSeSBr after structural relaxation, computed with PBE-GGA.

Lattice parameters (Å, degrees): 6.5113 8.0850 8.5596 115.78 105.85 96.52
Closest atoms and distances in Å follow each position.
Fractional positions:
Te  0.1174  0.0774  0.2976  1 Se 2.51
Te  0.3737  0.6738  0.7761  1 S 2.58, 2 W 2.75, 1 Br 2.79
Te  0.6263  0.3262  0.2239  1 S 2.58, 2 W 2.75, 1 Br 2.79
Te  0.8826  0.9226  0.7024  1 Se 2.51
W  0.2821  0.0000  0.0002  2 S 2.44, 2 Se 2.67
W  0.7179  0.0000  0.9998  2 S 2.44, 2 Se 2.67
Se  0.0324  0.2393  0.9956  1 Te 2.51, 2 W 2.67
Se  0.9676  0.7607  0.0044  1 Te 2.51, 2 W 2.67
S  0.4718  0.1474  0.8647  2 W 2.44, 1 Te 2.58
S  0.5282  0.8526  0.1353  2 W 2.44, 1 Te 2.58
Br  0.2372  0.6241  0.4168  1 Te 2.79
Br  0.7628  0.3759  0.5832  1 Te 2.79

SG: No. 2
Crystal system: triclinic
Calculated total energy: -5.073 eV per atom
Density: 5.56 Mg/m³



What did the second record say?
YNbInCu after structural relaxation, computed with PBE-GGA.

Lattice parameters (Å, degrees): 4.9061 4.9061 4.9061 60.00 60.00 60.00
Closest atoms and distances in Å follow each position.
Fractional positions:
Y  0.0000  0.0000  0.0000  4 Cu 3.00, 4 Nb 3.00
Nb  0.2500  0.2500  0.2500  4 In 3.00, 4 Y 3.00
In  0.5000  0.5000  0.5000  4 Nb 3.00, 4 Cu 3.00
Cu  0.7500  0.7500  0.7500  4 In 3.00, 4 Y 3.00

SG: No. 216
Crystal system: cubic
Calculated total energy: -5.461 eV per atom
Density: 7.16 Mg/m³